(1)
# NpTcAs PBE-GGA optimized geometry
# Spin magnetization: 1.97 μB/f.u.
# Final energy: -108.53 eV per cell
data_NpTcAs
_cell_length_a 6.2292
_cell_length_b 6.2292
_cell_length_c 6.2292
_cell_angle_alpha 90.00
_cell_angle_beta 90.00
_cell_angle_gamma 90.00
_symmetry_space_group_name_H-M 'F -4 3 m'
_symmetry_Int_Tables_number 216
_symmetry_space_group_name_Hall 'F -4 2 3'
loop_
_atom_site_label
_atom_site_type_symbol
_atom_site_fract_x
_atom_site_fract_y
_atom_site_fract_z
Np1 Np 0.0000 0.0000 0.0000
Tc1 Tc 0.0000 0.0000 0.5000
As1 As 0.2500 0.2500 0.2500

(2)
# ThNpAs PBE-GGA optimized geometry
# Spin magnetization: 5.05 μB/f.u.
# Final energy: -100.83 eV per cell
data_ThNpAs
_cell_length_a 6.7861
_cell_length_b 6.7861
_cell_length_c 6.7861
_cell_angle_alpha 90.00
_cell_angle_beta 90.00
_cell_angle_gamma 90.00
_symmetry_space_group_name_H-M 'F -4 3 m'
_symmetry_Int_Tables_number 216
_symmetry_space_group_name_Hall 'F -4 2 3'
loop_
_atom_site_label
_atom_site_type_symbol
_atom_site_fract_x
_atom_site_fract_y
_atom_site_fract_z
Th1 Th 0.0000 0.0000 0.0000
Np1 Np 0.0000 0.0000 0.5000
As1 As 0.2500 0.2500 0.7500

(3)
# NpTlAs PBE-GGA optimized geometry
# Spin magnetization: 4.49 μB/f.u.
# Polymorph energy (0 for the lowest one): 0.000 eV/atom
data_NpTlAs
_cell_length_a 6.9186
_cell_length_b 6.9186
_cell_length_c 6.9186
_cell_angle_alpha 90.00
_cell_angle_beta 90.00
_cell_angle_gamma 90.00
_symmetry_space_group_name_H-M 'F -4 3 m'
_symmetry_Int_Tables_number 216
_symmetry_space_group_name_Hall 'F -4 2 3'
loop_
_atom_site_label
_atom_site_type_symbol
_atom_site_fract_x
_atom_site_fract_y
_atom_site_fract_z
Np1 Np 0.0000 0.0000 0.0000
Tl1 Tl 0.0000 0.0000 0.5000
As1 As 0.2500 0.2500 0.2500

(4)
# NpZnAs PBE-GGA optimized geometry
# Spin magnetization: 4.91 μB/f.u.
# Final energy: -74.91 eV per cell
data_NpZnAs
_cell_length_a 6.5101
_cell_length_b 6.5101
_cell_length_c 6.5101
_cell_angle_alpha 90.00
_cell_angle_beta 90.00
_cell_angle_gamma 90.00
_symmetry_space_group_name_H-M 'F -4 3 m'
_symmetry_Int_Tables_number 216
_symmetry_space_group_name_Hall 'F -4 2 3'
loop_
_atom_site_label
_atom_site_type_symbol
_atom_site_fract_x
_atom_site_fract_y
_atom_site_fract_z
Np1 Np 0.0000 0.0000 0.0000
Zn1 Zn 0.0000 0.0000 0.5000
As1 As 0.2500 0.2500 0.2500

(5)
# ZrNpAs PBE-GGA optimized geometry
# Spin magnetization: 4.99 μB/f.u.
# Final energy: -106.03 eV per cell
data_ZrNpAs
_cell_length_a 6.6176
_cell_length_b 6.6176
_cell_length_c 6.6176
_cell_angle_alpha 90.00
_cell_angle_beta 90.00
_cell_angle_gamma 90.00
_symmetry_space_group_name_H-M 'F -4 3 m'
_symmetry_Int_Tables_number 216
_symmetry_space_group_name_Hall 'F -4 2 3'
loop_
_atom_site_label
_atom_site_type_symbol
_atom_site_fract_x
_atom_site_fract_y
_atom_site_fract_z
Zr1 Zr 0.0000 0.0000 0.0000
Np1 Np 0.0000 0.0000 0.5000
As1 As 0.2500 0.2500 0.7500

(6)
# As2Os2O5 PBE-GGA optimized geometry
# Spin magnetization: 3.25 μB/f.u.
# Polymorph energy (0 for the lowest one): 0.555 eV/atom
data_As2Os2O5
_cell_length_a 4.0616
_cell_length_b 4.0616
_cell_length_c 6.3724
_cell_angle_alpha 90.00
_cell_angle_beta 90.00
_cell_angle_gamma 90.00
_symmetry_space_group_name_H-M 'P 4/m m m'
_symmetry_Int_Tables_number 123
_symmetry_space_group_name_Hall '-P 4 2'
loop_
_atom_site_label
_atom_site_type_symbol
_atom_site_fract_x
_atom_site_fract_y
_atom_site_fract_z
As1 As 0.0000 0.0000 0.2116
Os1 Os 0.5000 0.5000 0.0000
Os2 Os 0.5000 0.5000 0.5000
O1 O 0.0000 0.0000 0.5000
O2 O 0.0000 0.5000 0.1972

(7)
# As2Os2O5 PBE-GGA optimized geometry
# Spin magnetization: 0.00 μB/f.u.
# Polymorph energy (0 for the lowest one): 0.000 eV/atom
data_As2Os2O5
_cell_length_a 3.7468
_cell_length_b 3.7468
_cell_length_c 7.1026
_cell_angle_alpha 90.00
_cell_angle_beta 90.00
_cell_angle_gamma 90.00
_symmetry_space_group_name_H-M 'P 4/m m m'
_symmetry_Int_Tables_number 123
_symmetry_space_group_name_Hall '-P 4 2'
loop_
_atom_site_label
_atom_site_type_symbol
_atom_site_fract_x
_atom_site_fract_y
_atom_site_fract_z
As1 As 0.0000 0.0000 0.0000
As2 As 0.0000 0.0000 0.5000
Os1 Os 0.5000 0.5000 0.1869
O1 O 0.0000 0.5000 0.2801
O2 O 0.5000 0.5000 0.5000

(8)
# AsOs2O4 PBE-GGA optimized geometry
# Spin magnetization: 1.02 μB/f.u.
# Final energy: -191.32 eV per cell
data_AsOs2O4
_cell_length_a 6.2847
_cell_length_b 6.2847
_cell_length_c 8.8786
_cell_angle_alpha 90.00
_cell_angle_beta 90.00
_cell_angle_gamma 90.00
_symmetry_space_group_name_H-M 'I 41/a m d'
_symmetry_Int_Tables_number 141
loop_
_symmetry_equiv_pos_as_xyz
'x,y,z'
'-x,-y,-z'
'-y+1/4,x+3/4,z+1/4'
'y+1/4,-x+3/4,-z+1/4'
'-x+1/2,-y,z+1/2'
'x+1/2,y,-z+1/2'
'y+1/4,-x+1/4,z+3/4'
'-y+1/4,x+1/4,-z+3/4'
'x,-y,-z'
'-x,y,z'
'-y+1/4,-x+1/4,-z+3/4'
'y+1/4,x+1/4,z+3/4'
'-x+1/2,y,-z+1/2'
'x+1/2,-y,z+1/2'
'y+1/4,x+3/4,-z+1/4'
'-y+1/4,-x+3/4,z+1/4'
'x+1/2,y+1/2,z+1/2'
'-x+1/2,-y+1/2,-z+1/2'
'-y+3/4,x+1/4,z+3/4'
'y+3/4,-x+1/4,-z+3/4'
'-x,-y+1/2,z'
'x,y+1/2,-z'
'y+3/4,-x+3/4,z+1/4'
'-y+3/4,x+3/4,-z+1/4'
'x+1/2,-y+1/2,-z+1/2'
'-x+1/2,y+1/2,z+1/2'
'-y+3/4,-x+3/4,-z+1/4'
'y+3/4,x+3/4,z+1/4'
'-x,y+1/2,-z'
'x,-y+1/2,z'
'y+3/4,x+1/4,-z+3/4'
'-y+3/4,-x+1/4,z+3/4'
loop_
_atom_site_label
_atom_site_type_symbol
_atom_site_fract_x
_atom_site_fract_y
_atom_site_fract_z
As1 As 0.0000 0.2500 0.3750
Os1 Os 0.0000 0.0000 0.0000
O1 O 0.0000 0.0312 0.7655